Material: RbGe2Pb2
Method: DFT, SCAN
State: PBEsol geometry

Properties
**N(E_F)**: 4.9 states/eV/cell
**Volume**: 298 Å³/cell
**DFT formation energy**: -0.07 eV per atom
**Energy**: -210.85 eV per formula unit

Cell lengths 4.9939, 4.9939, 11.9347 Å; angles 90.00, 90.00, 90.00 degrees
Last column: nearest neighbours and their distance in Å.
Space group I4/mmm (No. 139)
Unique sites:
Rb 0.0000 0.0000 0.0000  8 Ge 3.77, 8 Pb 3.89
Ge 0.0000 0.0000 0.3901  1 Ge 2.62
Pb 0.0000 0.5000 0.2500  4 Ge 3.01


Material: ReGe2Pb2
Method: DFT, SCAN
State: PBEsol geometry

Properties
**N(E_F)**: 6.5 states/eV/cell
**Volume**: 239 Å³/cell
**DFT formation energy**: 1.32 eV per atom
**Energy**: -254.24 eV per formula unit

Cell lengths 4.0310, 4.0310, 14.6801 Å; angles 90.00, 90.00, 90.00 degrees
Last column: nearest neighbours and their distance in Å.
Space group I4/mmm (No. 139)
Unique sites:
Re 0.0000 0.0000 0.0000  8 Ge 3.09
Ge 0.0000 0.0000 0.4185  1 Ge 2.39
Pb 0.0000 0.5000 0.2500  4 Pb 2.85, 4 Ge 3.19


Material: ZnGe2RhPb
Method: DFT, SCAN
State: PBEsol geometry

Properties
**N(E_F)**: 2.8 states/eV/cell
**Volume**: 107 Å³/cell
**DFT formation energy**: 0.10 eV per atom
**Energy**: -160.77 eV per formula unit

Cell lengths 4.7086, 4.7086, 4.8399 Å; angles 90.00, 90.00, 90.00 degrees
Last column: nearest neighbours and their distance in Å.
Space group P4/mmm (No. 123)
Unique sites:
Zn 0.0000 0.0000 0.0000  2 Rh 2.42
Ge 0.0000 0.5000 0.5000  2 Rh 2.35
Rh 0.0000 0.0000 0.5000  4 Ge 2.35, 2 Zn 2.42
Pb 0.5000 0.5000 0.0000  4 Zn 3.33, 8 Ge 3.38


Material: GePb2S4
Method: DFT, SCAN
State: PBEsol geometry

Properties
**N(E_F)**: 0.0 states/eV/cell
**Volume**: 704 Å³/cell
**Energy**: -212.74 eV per formula unit
**Energy relative to the elements, uncorrected**: -0.5104 eV/atom

Cell lengths 7.8604, 9.1660, 10.7597 Å; angles 90.00, 114.75, 90.00 degrees
Last column: nearest neighbours and their distance in Å.
Space group P2_1/c (No. 14)
Unique sites:
Ge 0.2156 0.1891 0.0055  4 S 2.21-2.23
Pb 0.1033 0.5550 0.8526  5 S 2.82-3.15
Pb 0.4547 0.6671 0.6558  5 S 2.85-3.15
S 0.0601 0.7021 0.1025  1 Ge 2.22
S 0.2491 0.0141 0.8739  1 Ge 2.23
S 0.2813 0.0940 0.2093  1 Ge 2.21
S 0.4245 0.1334 0.5545  1 Ge 2.21